Material: Nd2SmAg4Sn4
Method: DFT, PBE
State: relaxed

- Energy: -4.33 eV per atom
- Theoretical density: 8.37 g/cm3
- Calculated volume: 24.247 Å³ per atom
- Symmetry: No. 71

Cell lengths 8.903, 8.903, 8.903 Å; angles 149.58, 131.22, 58.58 degrees
Fractional positions:
1 Ag 0.633 0.329 0.303
2 Ag 0.974 0.671 0.303
3 Ag 0.026 0.329 0.697
4 Ag 0.367 0.671 0.697
5 Nd 0.629 0.129 0.500
6 Nd 0.371 0.871 0.500
7 Sm 0.000 0.000 0.000
8 Sn 0.214 0.214 0.000
9 Sn 0.786 0.786 0.000
10 Sn 0.697 0.500 0.197
11 Sn 0.303 0.500 0.803



Material: Tb2NdAg4Sn4
Method: DFT, PBE
State: relaxed

- Energy: -4.28 eV per atom
- Theoretical density: 8.68 g/cm3
- Calculated volume: 23.790 Å³ per atom
- Symmetry: No. 71

Cell lengths 8.837, 8.837, 8.837 Å; angles 149.98, 130.20, 59.25 degrees
Fractional positions:
1 Ag 0.527 0.329 0.198
2 Ag 0.869 0.671 0.198
3 Ag 0.131 0.329 0.802
4 Ag 0.473 0.671 0.802
5 Nd 0.500 0.000 0.500
6 Sn 0.808 0.500 0.308
7 Sn 0.716 0.216 0.500
8 Sn 0.284 0.784 0.500
9 Sn 0.192 0.500 0.692
10 Tb 0.128 0.128 0.000
11 Tb 0.872 0.872 0.000



Material: TbNd2Ag4Sn4
Method: DFT, PBE
State: relaxed

- Energy: -4.31 eV per atom
- Theoretical density: 8.49 g/cm3
- Calculated volume: 24.056 Å³ per atom
- Symmetry: No. 71

Cell lengths 8.877, 8.877, 8.877 Å; angles 149.58, 131.17, 58.63 degrees
Fractional positions:
1 Ag 0.632 0.329 0.303
2 Ag 0.974 0.671 0.303
3 Ag 0.026 0.329 0.697
4 Ag 0.368 0.671 0.697
5 Nd 0.628 0.128 0.500
6 Nd 0.372 0.872 0.500
7 Sn 0.214 0.214 0.000
8 Sn 0.786 0.786 0.000
9 Sn 0.698 0.500 0.198
10 Sn 0.302 0.500 0.802
11 Tb 0.000 0.000 0.000



Material: NdAgSnTe3
Method: DFT, PBE
State: relaxed

- Energy: -4.17 eV per atom
- Theoretical density: 6.53 g/cm3
- Distance to the lowest polymorph of the same formula: 16 meV per atom
- Calculated volume: 31.951 Å³ per atom
- Symmetry: No. 62

Cell lengths 9.262, 4.579, 18.080 Å; angles 90.00, 90.00, 90.00 degrees
Fractional positions:
1 Ag 0.883 0.250 0.133
2 Ag 0.383 0.250 0.367
3 Ag 0.617 0.750 0.633
4 Ag 0.117 0.750 0.867
5 Nd 0.272 0.250 0.036
6 Nd 0.772 0.250 0.464
7 Nd 0.228 0.750 0.536
8 Nd 0.728 0.750 0.964
9 Sn 0.594 0.750 0.248
10 Sn 0.094 0.750 0.252
11 Sn 0.906 0.250 0.748
12 Sn 0.406 0.250 0.752
13 Te 0.611 0.250 0.067
14 Te 0.035 0.750 0.087
15 Te 0.306 0.250 0.215
16 Te 0.806 0.250 0.285
17 Te 0.535 0.750 0.413
18 Te 0.111 0.250 0.433
19 Te 0.889 0.750 0.567
20 Te 0.465 0.250 0.587
21 Te 0.194 0.750 0.715
22 Te 0.694 0.750 0.785
23 Te 0.965 0.250 0.913
24 Te 0.389 0.750 0.933



Material: NdAgSnTe3
Method: DFT, PBE
State: relaxed

- Energy: -4.16 eV per atom
- Theoretical density: 6.89 g/cm3
- Distance to the lowest polymorph of the same formula: 27 meV per atom
- Calculated volume: 30.261 Å³ per atom
- Symmetry: No. 62

Cell lengths 12.527, 4.540, 12.771 Å; angles 90.00, 90.00, 90.00 degrees
Fractional positions:
1 Ag 0.763 0.750 0.208
2 Ag 0.263 0.750 0.292
3 Ag 0.737 0.250 0.708
4 Ag 0.237 0.250 0.792
5 Nd 0.476 0.250 0.190
6 Nd 0.976 0.250 0.310
7 Nd 0.024 0.750 0.690
8 Nd 0.524 0.750 0.810
9 Sn 0.815 0.250 0.014
10 Sn 0.315 0.250 0.486
11 Sn 0.685 0.750 0.514
12 Sn 0.185 0.750 0.986
13 Te 0.598 0.750 0.059
14 Te 0.969 0.750 0.127
15 Te 0.213 0.250 0.171
16 Te 0.713 0.250 0.329
17 Te 0.469 0.750 0.373
18 Te 0.098 0.750 0.441
19 Te 0.902 0.250 0.559
20 Te 0.531 0.250 0.627
21 Te 0.287 0.750 0.671
22 Te 0.787 0.750 0.829
23 Te 0.031 0.250 0.873
24 Te 0.402 0.250 0.941



Material: NdAgSnTe3
Method: DFT, PBE
State: relaxed

- Energy: -4.18 eV per atom
- Theoretical density: 6.78 g/cm3
- Distance to the lowest polymorph of the same formula: 3 meV per atom
- Calculated volume: 30.768 Å³ per atom
- Symmetry: No. 63

Cell lengths 11.418, 7.739, 7.739 Å; angles 32.68, 90.00, 90.00 degrees
Fractional positions:
1 Ag 0.500 0.474 0.474
2 Ag 0.000 0.526 0.526
3 Nd 0.250 0.000 0.000
4 Nd 0.750 0.000 0.000
5 Sn 0.000 0.230 0.230
6 Sn 0.500 0.770 0.770
7 Te 0.500 0.098 0.098
8 Te 0.313 0.350 0.350
9 Te 0.687 0.350 0.350
10 Te 0.187 0.650 0.650
11 Te 0.813 0.650 0.650
12 Te 0.000 0.902 0.902



Material: NdAgSnTe3
Method: DFT, PBE
State: relaxed

- Energy: -4.16 eV per atom
- Theoretical density: 6.57 g/cm3
- Distance to the lowest polymorph of the same formula: 24 meV per atom
- Calculated volume: 31.767 Å³ per atom
- Symmetry: No. 12

Cell lengths 10.210, 10.210, 9.000 Å; angles 102.23, 102.23, 24.60 degrees
Fractional positions:
1 Ag 0.457 0.457 0.285
2 Ag 0.543 0.543 0.715
3 Nd 0.838 0.838 0.411
4 Nd 0.162 0.162 0.589
5 Sn 0.125 0.125 0.069
6 Sn 0.875 0.875 0.931
7 Te 0.500 0.500 0.000
8 Te 0.316 0.316 0.150
9 Te 0.673 0.673 0.340
10 Te 0.000 0.000 0.500
11 Te 0.327 0.327 0.660
12 Te 0.684 0.684 0.850



Material: NdAgSnTe3
Method: DFT, PBE
State: relaxed

- Energy: -4.19 eV per atom
- Theoretical density: 6.79 g/cm3
- Distance to the lowest polymorph of the same formula: 0 meV per atom
- Calculated volume: 30.731 Å³ per atom
- Symmetry: No. 62

Cell lengths 11.418, 4.381, 14.744 Å; angles 90.00, 90.00, 90.00 degrees
Fractional positions:
1 Ag 0.762 0.750 0.225
2 Ag 0.262 0.750 0.275
3 Ag 0.738 0.250 0.725
4 Ag 0.238 0.250 0.775
5 Nd 0.517 0.250 0.243
6 Nd 0.017 0.250 0.257
7 Nd 0.983 0.750 0.743
8 Nd 0.483 0.750 0.757
9 Sn 0.779 0.250 0.016
10 Sn 0.279 0.250 0.484
11 Sn 0.721 0.750 0.516
12 Sn 0.221 0.750 0.984
13 Te 0.583 0.750 0.096
14 Te 0.956 0.750 0.104
15 Te 0.262 0.250 0.151
16 Te 0.762 0.250 0.349
17 Te 0.456 0.750 0.396
18 Te 0.083 0.750 0.404
19 Te 0.917 0.250 0.596
20 Te 0.544 0.250 0.604
21 Te 0.238 0.750 0.651
22 Te 0.738 0.750 0.849
23 Te 0.044 0.250 0.896
24 Te 0.417 0.250 0.904